DFT (GGA+U) results for a relaxed LiCoPO4 crystal.

Calculated values
ΔE to the lowest computed polymorph: 0.35 eV/f.u.
DFT total energy: -6.60 eV per atom
Total moment: 6.0 Bohr magnetons per cell

a = 5.157 Å, b = 5.157 Å, c = 9.365 Å
α = 90.34°, β = 90.34°, γ = 120.15°
Fractional positions:
Li1 0.001 0.999 0.500
Li2 0.999 0.001 0.000
Co1 0.337 0.669 0.388
Co2 0.669 0.337 0.888
P1 0.335 0.678 0.024
P2 0.678 0.335 0.524
O1 0.043 0.383 0.980
O2 0.328 0.948 0.954
O3 0.357 0.721 0.186
O4 0.383 0.043 0.480
O5 0.613 0.664 0.968
O6 0.664 0.613 0.468
O7 0.721 0.357 0.686
O8 0.948 0.328 0.454